This record from Alexandria describes a relaxed structure of KVBF6. The functional is PBE+U.

The structure in CIF format:
```
data_KVBF6
_chemical_formula_sum 'K2 V2 B2 F12'
_symmetry_space_group_name_H-M 'C 1 2 1'
_symmetry_Int_Tables_number 5
_cell_length_a 5.116
_cell_length_b 8.840
_cell_length_c 5.597
_cell_angle_alpha 90.00
_cell_angle_beta 90.04
_cell_angle_gamma 90.00
loop_
_symmetry_equiv_pos_as_xyz
'x,y,z'
'-x,y,-z'
'x+1/2,y+1/2,z'
'-x+1/2,y+1/2,-z'
loop_
_atom_site_label
_atom_site_type_symbol
_atom_site_fract_x
_atom_site_fract_y
_atom_site_fract_z
K1 K 0.000 0.000 0.000
V1 V 0.000 0.667 0.500
B1 B 0.000 0.333 0.500
F1 F 0.126 0.467 0.670
F2 F 0.137 0.203 0.669
F3 F 0.237 0.830 0.670
```

**Final energy**: -5.4450 eV/atom